Entry 1:
DFT (GGA-PBE) results for crystalline ZrSb2AsI at its relaxed geometry.

Output
For the uncorrected formation energy, the calculation gives 0.73 eV/atom. Its total magnetic moment is 0.61 Bohr magnetons per cell. As for the total energy: -19.3 eV for the cell shown. Its polymorph energy (0 for the lowest one) is 239 meV per atom.

a b c (Å): 5.337 5.337 5.333
angles (deg): 90.00 90.00 90.00
Last column: magnetic moment on the atom in μB.
Fractional coordinates of all 5 atoms:
1 I 0.000 0.000 0.500  -0.04
2 Sb 0.000 0.500 0.000  -0.05
3 Sb 0.500 0.000 0.000  -0.05
4 As 0.000 0.000 0.000  -0.01
5 Zr 0.500 0.500 0.500  0.60


Entry 2:
DFT (GGA-PBE) results for crystalline CaErCd3 at its relaxed geometry.

Output
The formation energy comes out at -301 meV per atom. Its total magnetic moment is 0.00 Bohr magnetons per cell. As for the total energy: -21.6 eV for the cell shown.

a b c (Å): 3.584 4.959 14.872
angles (deg): 90.00 96.92 90.00
Fractional coordinates of all 10 atoms:
1 Ca 0.925 0.750 0.849
2 Ca 0.075 0.250 0.151
3 Er 0.215 0.750 0.430
4 Er 0.785 0.250 0.570
5 Cd 0.623 0.750 0.246
6 Cd 0.377 0.250 0.754
7 Cd 0.525 0.750 0.050
8 Cd 0.475 0.250 0.950
9 Cd 0.678 0.250 0.356
10 Cd 0.322 0.750 0.644